{
  "formula": "PmErSiIr",
  "functional": "PBE",
  "state": "optimized geometry",
  "total_magnetization_mub_per_cell": 0.0,
  "raw_formation_energy_ev_per_atom": -0.55,
  "sg": "F-43m",
  "crystal_system": "cubic",
  "relative_energy_ev_per_fu": 1.10,
  "lattice_angstrom": [[0.000, 3.516, 3.516], [3.516, 0.000, 3.516], [3.516, 3.516, 0.000]],
  "species": ["Pm", "Er", "Si", "Ir"],
  "fractional_positions": [[0.000, 0.000, 0.000], [0.500, 0.500, 0.500], [0.750, 0.750, 0.750], [0.250, 0.250, 0.250]]
}